1.
## TiSi2Pd (PBE)

Data for an optimized crystal structure of TiSi2Pd.

Lattice parameters (Å, degrees): 3.9162 3.9162 9.0015 77.44 77.44 90.00
Element x y z (fractional)
Si 0.6474 0.1250 0.2500
Si 0.1026 0.6250 0.2500
Si 0.8750 0.8974 0.7500
Si 0.3750 0.3526 0.7500
Ti 0.5000 0.5000 0.0000
Ti 0.2500 0.7500 0.5000
Pd 0.0000 0.0000 0.0000
Pd 0.7500 0.2500 0.5000

Properties
The value obtained for the uncorrected formation energy is -0.17 eV/atom. Its total energy is -49.2 eV for the cell shown.

2.
## BaSr2Fe (PBE)

Data for an optimized crystal structure of BaSr2Fe.

Lattice parameters (Å, degrees): 11.5049 11.5049 11.5049 21.45 21.45 21.45
Last column: magnetic moment on the atom in μB.
Element x y z (fractional)
Ba 0.2500 0.2500 0.2500  0.00
Fe 0.7500 0.7500 0.7500  2.67
Sr 0.4732 0.4732 0.4732  -0.07
Sr 0.0268 0.0268 0.0268  -0.07

Properties
The calculation puts the formation energy at 0.52 eV/atom. The calculation puts the excess energy over the best structure of this formula in the dataset at 91.0 meV per atom. Its total energy is -11.7 eV for the cell shown.

3.
## Ba4Zn2Ir (PBE)

Data for an optimized crystal structure of Ba4Zn2Ir.

Lattice parameters (Å, degrees): 6.2726 6.2726 9.0460 69.71 69.71 90.00
Element x y z (fractional)
Zn 0.5884 0.5884 0.8231
Zn 0.4116 0.4116 0.1769
Ba 0.5000 0.0000 0.0000
Ba 0.0000 0.5000 0.0000
Ba 0.8089 0.8089 0.3822
Ba 0.1911 0.1911 0.6178
Ir 0.0000 0.0000 0.0000

Properties
The calculation puts the formation energy at -0.03 eV/atom. Its total energy is -19.3 eV for the cell shown.

4.
## SbTeAu2 (PBE)

Data for an optimized crystal structure of SbTeAu2.

Lattice parameters (Å, degrees): 4.1723 4.1723 7.0400 72.76 72.76 60.00
Element x y z (fractional)
Sb 0.6689 0.6689 0.9932
Au 0.0826 0.0826 0.7521
Au 0.2532 0.2532 0.2404
Te 0.4953 0.4953 0.5142

Properties
The value obtained for the uncorrected formation energy is 0.03 eV/atom. The calculation puts the excess energy over the best structure of this formula in the dataset at 64.1 meV per atom. Its total energy is -13.7 eV for the cell shown.

5.
## LiMg2As (PBE)

Data for an optimized crystal structure of LiMg2As.

Lattice parameters (Å, degrees): 4.2451 4.2467 4.0934 90.00 90.00 90.00
Element x y z (fractional)
Mg 0.0000 0.0000 0.0000
Mg 0.5000 0.5000 0.0000
As 0.5000 0.0000 0.5000
Li 0.0000 0.5000 0.5000

Properties
The calculation puts the formation energy at -0.37 eV/atom. Its total energy is -11.2 eV for the cell shown.

6.
## RbPaBi2O6 (PBE)

Data for an optimized crystal structure of RbPaBi2O6.

Lattice parameters (Å, degrees): 9.1762 7.4912 7.4912 71.55 66.77 66.77
Element x y z (fractional)
O 0.5165 0.2601 0.6197
O 0.8090 0.3952 0.3229
O 0.7661 0.7530 0.9760
O 0.0165 0.6197 0.2601
O 0.1910 0.6048 0.6771
O 0.4835 0.7399 0.3803
O 0.3090 0.3229 0.3952
O 0.7339 0.0240 0.2470
O 0.9835 0.3803 0.7399
O 0.6910 0.6771 0.6048
O 0.2339 0.2470 0.0240
O 0.2661 0.9760 0.7530
Bi 0.8946 0.6947 0.6822
Bi 0.1054 0.3053 0.3178
Bi 0.6054 0.3178 0.3053
Bi 0.3946 0.6822 0.6947
Rb 0.7500 0.1929 0.8071
Rb 0.2500 0.8071 0.1929
Pa 0.7500 0.7205 0.2795
Pa 0.2500 0.2795 0.7205

Properties
The value obtained for the uncorrected formation energy is -2.08 eV/atom. Its total energy is -137.6 eV for the cell shown.

7.
## AcLa3Y8 (PBE)

Data for an optimized crystal structure of AcLa3Y8.

Lattice parameters (Å, degrees): 8.9415 8.9415 8.9415 98.38 137.63 96.63
Element x y z (fractional)
Ac 0.0000 0.0000 0.0000
Y 0.4953 0.7436 0.7517
Y 0.0081 0.2564 0.7517
Y 0.1768 0.9260 0.7493
Y 0.8232 0.5725 0.7493
Y 0.1767 0.4275 0.2507
Y 0.5047 0.2564 0.2483
Y 0.9919 0.7436 0.2483
Y 0.8233 0.0740 0.2507
La 0.5000 0.2543 0.7543
La 0.0000 0.5000 0.5000
La 0.5000 0.7457 0.2457

Properties
The calculation puts the formation energy at 0.28 eV/atom. Its total energy is -67.2 eV for the cell shown.

8.
## ScSiOF2 (PBE)

Data for an optimized crystal structure of ScSiOF2.

Lattice parameters (Å, degrees): 4.1543 4.1543 4.0930 90.00 90.00 90.00
Element x y z (fractional)
O 0.0000 0.0000 0.5000
F 0.0000 0.5000 0.0000
F 0.5000 0.0000 0.0000
Si 0.5000 0.5000 0.5000
Sc 0.0000 0.0000 0.0000

Properties
The value obtained for the uncorrected formation energy is -2.12 eV/atom. The calculation puts the excess energy over the best structure of this formula in the dataset at 0.0 meV per atom. Its total energy is -31.1 eV for the cell shown.